## CaOs2Cl (meta-GGA SCAN)

Data for a crystal of CaOs2Cl relaxed with PBEsol.

Cell lengths 3.0055, 4.2434, 5.7820 Å; angles 90.00, 90.00, 91.53 degrees
Closest atoms and distances in Å follow each position.
Fractional positions:
Cl: 0.5000 0.5000 0.5000  4 Ca 2.57-2.63
Os: 0.6942 0.7567 0.0000  2 Os 2.40-2.44
Os: 0.3058 0.2433 0.0000  2 Os 2.40-2.44
Ca: 0.0000 0.0000 0.5000  4 Cl 2.57-2.63

ΔE_f (raw) (meV per atom): 174
Calculated total energy (eV for the cell shown): -160.71
Space-group type: No. 10
Distance to the lowest polymorph of the same formula (kJ per mole of atoms): 0.00
Density of states at the Fermi level (states/eV per cell): 2.87